1.
# CaGaAs3 (PBE, relaxed)
# energy = -3.737 eV per atom
# Fermi-level density of states = 4.8 states/eV/cell
# ΔH_f (0 K) = 0.059 eV/atom
# E above lowest polymorph = 0.000 eV per atom
data_CaGaAs3
_cell_length_a 4.981
_cell_length_b 4.981
_cell_length_c 4.981
_cell_angle_alpha 90.00
_cell_angle_beta 90.00
_cell_angle_gamma 90.00
_symmetry_space_group_name_H-M 'P m -3 m'
_symmetry_Int_Tables_number 221
_symmetry_space_group_name_Hall '-P 4 2 3'
loop_
_atom_site_label
_atom_site_type_symbol
_atom_site_fract_x
_atom_site_fract_y
_atom_site_fract_z
Ca1 Ca 0.000 0.000 0.000
Ga1 Ga 0.500 0.500 0.500
As1 As 0.000 0.500 0.500

=====

2.
# Ca2GaGeAs (PBE, relaxed)
# energy = -3.948 eV per atom
# Fermi-level density of states = 0.8 states/eV/cell
# ΔH_f (0 K) = -0.688 eV/atom
data_Ca2GaGeAs
_cell_length_a 7.370
_cell_length_b 4.179
_cell_length_c 8.914
_cell_angle_alpha 90.00
_cell_angle_beta 106.61
_cell_angle_gamma 90.00
_symmetry_space_group_name_H-M 'P 1 21/m 1'
_symmetry_Int_Tables_number 11
loop_
_symmetry_equiv_pos_as_xyz
'x,y,z'
'-x,-y,-z'
'-x,y+1/2,-z'
'x,-y+1/2,z'
loop_
_atom_site_label
_atom_site_type_symbol
_atom_site_fract_x
_atom_site_fract_y
_atom_site_fract_z
Ca1 Ca 0.170 0.250 0.403
Ca2 Ca 0.236 0.250 0.970
Ga1 Ga 0.493 0.250 0.724
Ge1 Ge 0.296 0.750 0.696
As1 As 0.167 0.750 0.177

=====

3.
# CaGaAsH (PBE, relaxed)
# energy = -3.663 eV per atom
# Fermi-level density of states = 4.3 states/eV/cell
data_CaGaAsH
_cell_length_a 3.9857
_cell_length_b 3.9857
_cell_length_c 10.9058
_cell_angle_alpha 90.00
_cell_angle_beta 90.00
_cell_angle_gamma 120.00
_symmetry_space_group_name_H-M 'P 63 m c'
_symmetry_Int_Tables_number 186
_symmetry_space_group_name_Hall 'P 6c -2c'
loop_
_atom_site_label
_atom_site_type_symbol
_atom_site_fract_x
_atom_site_fract_y
_atom_site_fract_z
Ca1 Ca 0.3333 0.6667 0.0000
Ga1 Ga 0.0000 0.0000 0.2133
As1 As 0.3333 0.6667 0.3061
H1 H 0.0000 0.0000 0.0286

=====

4.
# K2CaGaAs2 (PBE, relaxed)
# energy = -3.323 eV per atom
# Fermi-level density of states = 10.5 states/eV/cell
# ΔH_f (0 K) = -0.569 eV/atom
data_K2CaGaAs2
_cell_length_a 6.788
_cell_length_b 15.542
_cell_length_c 6.954
_cell_angle_alpha 90.00
_cell_angle_beta 90.00
_cell_angle_gamma 90.00
_symmetry_space_group_name_H-M 'I b a m'
_symmetry_Int_Tables_number 72
_symmetry_space_group_name_Hall '-I 2 2c'
loop_
_atom_site_label
_atom_site_type_symbol
_atom_site_fract_x
_atom_site_fract_y
_atom_site_fract_z
K1 K 0.221 0.182 0.000
Ca1 Ca 0.000 0.500 0.250
Ga1 Ga 0.000 0.000 0.250
As1 As 0.229 0.096 0.500